Material: Cs2CaPmBr6
Method: DFT, PBE-GGA
State: optimized geometry

Results
Energy relative to the elements, uncorrected: -1785 meV/atom
M_tot: 0.10 μB/atom

abc: 8.2105 11.6147 8.2121
angles: 90.00 90.00 90.00
Closest atoms and distances in Å follow each position.
Positions (direct):
1 Cs 0.2500 0.9996 0.2495  12 Br 4.10-4.11
2 Cs 0.2500 0.5004 0.2495  12 Br 4.10-4.11
3 Cs 0.7500 0.0004 0.7505  12 Br 4.10-4.11
4 Cs 0.7500 0.4996 0.7505  12 Br 4.10-4.11
5 Ca 0.2500 0.2500 0.7490  6 Br 2.88
6 Ca 0.7500 0.7500 0.2510  6 Br 2.88
7 Pm 0.2500 0.7500 0.7509  6 Br 2.92
8 Pm 0.7500 0.2500 0.2491  6 Br 2.92
9 Br 0.0019 0.2500 0.5007  1 Ca 2.88, 1 Pm 2.92
10 Br 0.0015 0.2500 0.9971  1 Ca 2.88, 1 Pm 2.92
11 Br 0.2500 0.0018 0.7499  1 Ca 2.88, 1 Pm 2.92
12 Br 0.2500 0.4982 0.7499  1 Ca 2.88, 1 Pm 2.92
13 Br 0.4981 0.2500 0.5007  1 Ca 2.88, 1 Pm 2.92
14 Br 0.4985 0.2500 0.9971  1 Ca 2.88, 1 Pm 2.92
15 Br 0.5015 0.7500 0.0029  1 Ca 2.88, 1 Pm 2.92
16 Br 0.5019 0.7500 0.4993  1 Ca 2.88, 1 Pm 2.92
17 Br 0.7500 0.5018 0.2501  1 Ca 2.88, 1 Pm 2.92
18 Br 0.7500 0.9982 0.2501  1 Ca 2.88, 1 Pm 2.92
19 Br 0.9985 0.7500 0.0029  1 Ca 2.88, 1 Pm 2.92
20 Br 0.9981 0.7500 0.4993  1 Ca 2.88, 1 Pm 2.92


Material: Cs2CaPrBr6
Method: DFT, PBE-GGA
State: optimized geometry

Results
Energy relative to the elements, uncorrected: -1787 meV/atom
M_tot: 0.10 μB/atom

abc: 8.2691 11.6980 8.2714
angles: 90.00 90.00 90.00
Closest atoms and distances in Å follow each position.
Positions (direct):
1 Cs 0.2500 0.0004 0.2498  12 Br 4.12-4.15
2 Cs 0.2500 0.4996 0.2498  12 Br 4.12-4.15
3 Cs 0.7500 0.9996 0.7502  12 Br 4.12-4.15
4 Cs 0.7500 0.5004 0.7502  12 Br 4.12-4.15
5 Ca 0.2500 0.2500 0.7483  6 Br 2.88
6 Ca 0.7500 0.7500 0.2517  6 Br 2.88
7 Pr 0.2500 0.7500 0.7516  6 Br 2.97
8 Pr 0.7500 0.2500 0.2484  6 Br 2.97
9 Br 0.0033 0.2500 0.9942  1 Ca 2.88, 1 Pr 2.97
10 Br 0.0042 0.2500 0.5016  1 Ca 2.88, 1 Pr 2.97
11 Br 0.2500 0.0037 0.7499  1 Ca 2.88, 1 Pr 2.97
12 Br 0.2500 0.4963 0.7499  1 Ca 2.88, 1 Pr 2.97
13 Br 0.4958 0.2500 0.5016  1 Ca 2.88, 1 Pr 2.97
14 Br 0.4967 0.2500 0.9942  1 Ca 2.88, 1 Pr 2.97
15 Br 0.5033 0.7500 0.0058  1 Ca 2.88, 1 Pr 2.97
16 Br 0.5042 0.7500 0.4984  1 Ca 2.88, 1 Pr 2.97
17 Br 0.7500 0.5037 0.2501  1 Ca 2.88, 1 Pr 2.97
18 Br 0.7500 0.9963 0.2501  1 Ca 2.88, 1 Pr 2.97
19 Br 0.9958 0.7500 0.4984  1 Ca 2.88, 1 Pr 2.97
20 Br 0.9967 0.7500 0.0058  1 Ca 2.88, 1 Pr 2.97


Material: CsCaPrBr6
Method: DFT, PBE-GGA
State: optimized geometry

Results
Energy relative to the elements, uncorrected: -1949 meV/atom
M_tot: 0.00 μB/atom

abc: 7.6596 7.6596 15.9142
angles: 90.00 90.00 120.00
Closest atoms and distances in Å follow each position.
Positions (direct):
1 Cs 0.0000 0.0000 0.0000  6 Br 3.70
2 Cs 0.0000 0.0000 0.5000  6 Br 3.70
3 Ca 0.3333 0.6667 0.2500  6 Br 2.92
4 Ca 0.6667 0.3333 0.7500  6 Br 2.92
5 Pr 0.3333 0.6667 0.7500  6 Br 2.94
6 Pr 0.6667 0.3333 0.2500  6 Br 2.94
7 Br 0.0012 0.3808 0.1439  1 Ca 2.92, 1 Pr 2.94
8 Br 0.0012 0.6205 0.3561  1 Ca 2.92, 1 Pr 2.94
9 Br 0.3795 0.3808 0.3561  1 Ca 2.92, 1 Pr 2.94
10 Br 0.3795 0.9988 0.1439  1 Ca 2.92, 1 Pr 2.94
11 Br 0.3808 0.0012 0.6439  1 Ca 2.92, 1 Pr 2.94
12 Br 0.3808 0.3795 0.8561  1 Ca 2.92, 1 Pr 2.94
13 Br 0.6192 0.6205 0.1439  1 Ca 2.92, 1 Pr 2.94
14 Br 0.6192 0.9988 0.3561  1 Ca 2.92, 1 Pr 2.94
15 Br 0.6205 0.0012 0.8561  1 Ca 2.92, 1 Pr 2.94
16 Br 0.6205 0.6192 0.6439  1 Ca 2.92, 1 Pr 2.94
17 Br 0.9988 0.3795 0.6439  1 Ca 2.92, 1 Pr 2.94
18 Br 0.9988 0.6192 0.8561  1 Ca 2.92, 1 Pr 2.94


Material: Cs2CaPtBr6
Method: DFT, PBE-GGA
State: optimized geometry

Results
Energy relative to the elements, uncorrected: -1281 meV/atom
M_tot: 0.20 μB/atom

abc: 7.9003 7.9003 7.9003
angles: 60.00 60.00 60.00
Closest atoms and distances in Å follow each position.
Positions (direct):
1 Cs 0.2500 0.2500 0.2500  12 Br 3.95
2 Cs 0.7500 0.7500 0.7500  12 Br 3.95
3 Ca 0.0000 0.0000 0.0000  6 Br 2.90
4 Pt 0.5000 0.5000 0.5000  6 Br 2.69
5 Br 0.2593 0.2593 0.7407  1 Pt 2.69, 1 Ca 2.90
6 Br 0.2593 0.7407 0.2593  1 Pt 2.69, 1 Ca 2.90
7 Br 0.2593 0.7407 0.7407  1 Pt 2.69, 1 Ca 2.90
8 Br 0.7407 0.2593 0.2593  1 Pt 2.69, 1 Ca 2.90
9 Br 0.7407 0.2593 0.7407  1 Pt 2.69, 1 Ca 2.90
10 Br 0.7407 0.7407 0.2593  1 Pt 2.69, 1 Ca 2.90